No. 1
Density functional theory data (GGA-PBE) for YZn2Ag8 after structural relaxation.

Structure (POSCAR):
```
YZn2Ag8
1.0
4.675 1.069 0.695
0.725 6.558 -3.172
0.683 -0.062 7.289
Y Ag Zn
1 8 2
Cartesian
2.338 0.534 0.348
4.401 3.056 0.173
1.682 4.509 4.639
3.052 5.532 -0.359
4.391 1.449 2.713
3.030 2.032 5.171
2.043 3.021 1.920
4.040 4.544 2.892
1.692 6.116 2.099
0.712 4.490 0.096
0.696 2.006 4.021
```

Properties
- density of states at the Fermi level (states/eV/cell) = 4.40
- formation energy (eV/atom) = 0.005

---

No. 2
Density functional theory data (GGA-PBE) for AlNi3 after structural relaxation.

Structure (POSCAR):
```
AlNi3
1.0
4.380 0.000 0.000
0.000 4.380 0.000
0.000 0.000 4.380
Ni Al
3 1
Cartesian
0.000 2.190 0.000
2.190 0.000 0.000
0.000 0.000 2.190
0.000 0.000 0.000
```

Properties
- density of states at the Fermi level (states/eV/cell) = 9.08
- formation energy (eV/atom) = 1.300